# PBE-GGA La8Bi2Ir, optimized geometry
# Crystal system: monoclinic
# DFT formation energy in eV per atom: -0.486
data_La8Bi2Ir
_chemical_formula_sum 'La16 Bi4 Ir2'
_symmetry_space_group_name_H-M 'C 1 2/m 1'
_symmetry_Int_Tables_number 12
_cell_length_a 19.711
_cell_length_b 5.547
_cell_length_c 7.018
_cell_angle_alpha 90.00
_cell_angle_beta 109.96
_cell_angle_gamma 90.00
loop_
_symmetry_equiv_pos_as_xyz
'x,y,z'
'-x,-y,-z'
'-x,y,-z'
'x,-y,z'
'x+1/2,y+1/2,z'
'-x+1/2,-y+1/2,-z'
'-x+1/2,y+1/2,-z'
'x+1/2,-y+1/2,z'
loop_
_atom_site_label
_atom_site_type_symbol
_atom_site_fract_x
_atom_site_fract_y
_atom_site_fract_z
La1 La 0.008 0.000 0.230
La2 La 0.087 0.500 0.744
La3 La 0.141 0.500 0.308
La4 La 0.221 0.000 0.136
Bi1 Bi 0.171 0.000 0.622
Ir1 Ir 0.000 0.500 0.000

# PBE-GGA LaBi3Ir, optimized geometry
# Crystal system: cubic
# ΔE to the lowest computed polymorph in meV per atom: 400
# DFT formation energy in eV per atom: 0.077
data_LaBi3Ir
_chemical_formula_sum 'La1 Bi3 Ir1'
_symmetry_space_group_name_H-M 'P m -3 m'
_symmetry_Int_Tables_number 221
_symmetry_space_group_name_Hall '-P 4 2 3'
_cell_length_a 5.419
_cell_length_b 5.419
_cell_length_c 5.419
_cell_angle_alpha 90.00
_cell_angle_beta 90.00
_cell_angle_gamma 90.00
loop_
_atom_site_label
_atom_site_type_symbol
_atom_site_fract_x
_atom_site_fract_y
_atom_site_fract_z
La1 La 0.000 0.000 0.000
Bi1 Bi 0.000 0.500 0.500
Ir1 Ir 0.500 0.500 0.500

# PBE-GGA LiLaBiIr, optimized geometry
# Crystal system: cubic
# DFT formation energy in eV per atom: -0.527
data_LiLaBiIr
_chemical_formula_sum 'Li4 La4 Bi4 Ir4'
_symmetry_space_group_name_H-M 'F -4 3 m'
_symmetry_Int_Tables_number 216
_symmetry_space_group_name_Hall 'F -4 2 3'
_cell_length_a 6.995
_cell_length_b 6.995
_cell_length_c 6.995
_cell_angle_alpha 90.00
_cell_angle_beta 90.00
_cell_angle_gamma 90.00
loop_
_atom_site_label
_atom_site_type_symbol
_atom_site_fract_x
_atom_site_fract_y
_atom_site_fract_z
Li1 Li 0.000 0.000 0.000
La1 La 0.250 0.250 0.250
Bi1 Bi 0.250 0.250 0.750
Ir1 Ir 0.000 0.000 0.500